PrY2Ho, optimized geometry, DFT PBE; ΔE_f = 2.0 kJ per mole of atoms; SG = R-3m, No. 166; theoretical density = 6.1 g/cm³; E above lowest polymorph = 0.5 kJ per mole of atoms; total energy = -22.20 eV/cell
1.0
3.600 0.000 0.000
1.800 3.117 0.000
1.800 1.039 11.695
Y Pr Ho
2 1 1
Direct
0.748 0.748 0.755 Y
0.252 0.252 0.245 Y
0.500 0.500 0.500 Pr
0.000 0.000 0.000 Ho

PrZnAg, optimized geometry, DFT PBE; ΔE_f = -19.0 kJ per mole of atoms; SG = I4mm, No. 107; theoretical density = 7.6 g/cm³; total energy = -9.50 eV/cell
1.0
3.670 0.000 0.000
0.000 3.670 0.000
-1.835 -1.835 5.113
Zn Pr Ag
1 1 1
Direct
0.263 0.263 0.526 Zn
0.946 0.946 0.892 Pr
0.641 0.641 0.282 Ag

NaLiMnI5, optimized geometry, DFT PBE; SG = C2/c, No. 15; theoretical density = 3.9 g/cm³; formation energy (no corrections) = -0.70 eV per atom; total energy = -51.57 eV/cell
1.0
-2.332 -2.032 -7.619
-4.241 -5.174 4.782
-3.743 9.823 1.912
I Na Li Mn
10 2 2 2
Direct
0.298 0.355 0.560 I
0.355 0.298 0.060 I
0.890 0.335 0.119 I
0.072 0.928 0.250 I
0.665 0.110 0.381 I
0.110 0.665 0.881 I
0.645 0.702 0.940 I
0.335 0.890 0.619 I
0.702 0.645 0.440 I
0.928 0.072 0.750 I
0.316 0.684 0.250 Na
0.684 0.316 0.750 Na
0.000 0.000 0.500 Li
0.000 0.000 0.000 Li
0.663 0.337 0.250 Mn
0.337 0.663 0.750 Mn

DyTlSi2O6, optimized geometry, DFT PBE; SG = C2/c, No. 15; theoretical density = 6.1 g/cm³; formation energy (no corrections) = -2.69 eV per atom; total energy = -148.90 eV/cell
1.0
7.164 0.540 0.723
-0.341 7.177 0.723
-1.246 -1.409 5.169
O Si Tl Dy
12 4 2 2
Direct
0.683 0.558 0.634 O
0.927 0.379 0.249 O
0.317 0.442 0.366 O
0.621 0.073 0.251 O
0.558 0.683 0.134 O
0.442 0.317 0.866 O
0.843 0.827 0.465 O
0.173 0.157 0.035 O
0.827 0.843 0.965 O
0.157 0.173 0.535 O
0.379 0.927 0.749 O
0.073 0.621 0.751 O
0.700 0.861 0.202 Si
0.861 0.700 0.702 Si
0.300 0.139 0.798 Si
0.139 0.300 0.298 Si
0.183 0.817 0.250 Tl
0.817 0.183 0.750 Tl
0.618 0.382 0.250 Dy
0.382 0.618 0.750 Dy

AgHg5Sb2I4, optimized geometry, DFT PBE; SG = Amm2, No. 38; theoretical density = 6.2 g/cm³; formation energy (no corrections) = -0.11 eV per atom; total energy = -20.07 eV/cell
1.0
-2.619 5.151 6.647
0.125 -7.678 0.164
8.374 0.203 3.141
Hg Sb I Ag
5 2 4 1
Direct
0.129 0.000 0.500 Hg
0.092 0.422 0.288 Hg
0.092 0.422 0.712 Hg
0.669 0.578 0.712 Hg
0.669 0.578 0.288 Hg
0.899 0.563 0.500 Sb
0.337 0.437 0.500 Sb
0.705 0.000 0.248 I
0.483 0.362 0.000 I
0.705 0.000 0.752 I
0.121 0.638 0.000 I
0.504 0.000 0.000 Ag

CaPd2Pt2, optimized geometry, DFT PBE; ΔE_f = -27.1 kJ per mole of atoms; SG = I4/mmm, No. 139; theoretical density = 11.0 g/cm³; E above lowest polymorph = 7.1 kJ per mole of atoms; total energy = -51.75 eV/cell
1.0
3.976 0.000 0.000
0.000 3.976 0.000
-1.988 -1.988 12.253
Pt Pd Ca
4 4 2
Direct
0.073 0.073 0.146 Pt
0.927 0.927 0.854 Pt
0.750 0.250 0.500 Pt
0.250 0.750 0.500 Pt
0.824 0.824 0.649 Pd
0.000 0.500 0.000 Pd
0.176 0.176 0.351 Pd
0.500 0.000 0.000 Pd
0.625 0.625 0.249 Ca
0.375 0.375 0.751 Ca

NpGaPd6, optimized geometry, DFT PBE; ΔE_f = -44.3 kJ per mole of atoms; SG = P4/mmm, No. 123; theoretical density = 11.9 g/cm³; total energy = -50.79 eV/cell
1.0
-1.121 -2.380 -3.097
1.675 -3.203 1.856
-6.920 -1.499 3.657
Np Pd Ga
1 6 1
Direct
0.000 0.000 0.500 Np
0.500 0.000 0.240 Pd
0.000 0.500 0.240 Pd
0.500 0.500 0.500 Pd
0.500 0.500 0.000 Pd
0.000 0.500 0.760 Pd
0.500 0.000 0.760 Pd
0.000 0.000 0.000 Ga

CoTcTe, optimized geometry, DFT PBE; SG = P3m1, No. 156; theoretical density = 10.1 g/cm³; formation energy (no corrections) = 0.49 eV per atom; E above lowest polymorph = 12.7 kJ per mole of atoms; total energy = -19.14 eV/cell
1.0
-0.699 -3.905 1.379
1.485 0.623 -3.879
2.870 -0.133 1.077
Co Tc Te
1 1 1
Direct
0.000 0.000 0.834 Co
0.667 0.333 0.334 Tc
0.333 0.667 0.832 Te